This record from OQMD describes a relaxed HoLu2In3Fe2Cu crystal. The functional is PBE.

Cell: 3.859 7.401 7.401 Å, 120.14 90.00 90.00°
Positions (direct):
Cu 0.000 0.999 0.999
Fe 0.500 0.668 0.332
Fe 0.500 0.332 0.668
Ho 0.000 0.411 0.411
In 0.500 0.999 0.260
In 0.500 0.741 0.741
In 0.500 0.260 0.999
Lu 0.000 0.590 0.000
Lu 0.000 0.000 0.590

Raw total energy = -4.893 eV/atom

This record from OQMD describes a relaxed TaBi2 crystal. The functional is PBE.

Cell: 7.533 6.802 3.168 Å, 90.00 90.00 90.00°
Positions (direct):
Bi 0.150 0.321 0.000
Bi 0.850 0.679 0.000
Bi 0.650 0.179 0.500
Bi 0.350 0.821 0.500
Ta 0.500 0.500 0.000
Ta 0.000 0.000 0.500

Raw total energy = -6.215 eV/atom